Entry 1:
Below is a geometry-optimized TbZn4Os structure, with properties calculated at the PBE level.

a = 5.116 Å, b = 5.116 Å, c = 5.116 Å
α = 60.00°, β = 60.00°, γ = 60.00°
Positions (direct):
Tb 0.250 0.250 0.250
Zn 0.626 0.121 0.626
Os 0.000 0.000 0.000
Zn 0.121 0.626 0.626
Zn 0.626 0.626 0.121
Zn 0.626 0.626 0.626

Calculated formation energy in eV/atom: -0.1787
Crystal system: cubic
VASP energy in eV/atom: -3.671

***

Entry 2:
Below is a geometry-optimized Tb8ZnOs2 structure, with properties calculated at the PBE level.

a = 5.557 Å, b = 7.798 Å, c = 7.798 Å
α = 111.98°, β = 97.80°, γ = 97.80°
Positions (direct):
Tb 0.000 0.246 0.761
Os 0.499 0.690 0.316
Tb 0.587 0.333 0.068
Tb 0.587 0.068 0.333
Tb 0.800 0.625 0.625
Zn 0.004 0.002 0.002
Tb 0.000 0.761 0.246
Os 0.499 0.316 0.690
Tb 0.199 0.381 0.381
Tb 0.413 0.938 0.674
Tb 0.413 0.674 0.938

Calculated formation energy in eV/atom: -0.1254
Crystal system: monoclinic
VASP energy in eV/atom: -5.650

***

Entry 3:
Below is a geometry-optimized Tb4ZnOs structure, with properties calculated at the PBE level.

a = 9.551 Å, b = 9.551 Å, c = 9.551 Å
α = 60.00°, β = 60.00°, γ = 60.00°
Positions (direct):
Tb 0.810 0.810 0.190
Tb 0.944 0.556 0.944
Tb 0.556 0.944 0.944
Zn 0.480 0.173 0.173
Tb 0.556 0.944 0.556
Tb 0.190 0.810 0.190
Tb 0.810 0.190 0.190
Tb 0.810 0.190 0.810
Zn 0.173 0.480 0.173
Tb 0.190 0.190 0.810
Tb 0.944 0.944 0.556
Os 0.611 0.611 0.611
Zn 0.173 0.173 0.173
Tb 0.556 0.556 0.944
Tb 0.401 0.401 0.797
Os 0.611 0.166 0.611
Tb 0.190 0.810 0.810
Tb 0.401 0.401 0.401
Tb 0.797 0.401 0.401
Os 0.166 0.611 0.611
Tb 0.401 0.797 0.401
Zn 0.173 0.173 0.480
Os 0.611 0.611 0.166
Tb 0.944 0.556 0.556

Calculated formation energy in eV/atom: -0.2357
Crystal system: cubic
VASP energy in eV/atom: -5.406
ΔE to the lowest computed polymorph in meV per atom: 0

***

Entry 4:
Below is a geometry-optimized Tb2ZnOs2 structure, with properties calculated at the PBE level.

a = 5.525 Å, b = 5.356 Å, c = 8.381 Å
α = 101.83°, β = 90.00°, γ = 121.05°
Positions (direct):
Tb 0.486 0.696 0.846
Tb 0.790 0.304 0.654
Os 0.273 0.270 0.508
Os 0.997 0.270 0.008
Tb 0.514 0.304 0.154
Zn 0.873 0.000 0.250
Tb 0.210 0.696 0.346
Zn 0.127 0.000 0.750
Os 0.003 0.730 0.992
Os 0.727 0.730 0.492

Calculated formation energy in eV/atom: -0.2174
Crystal system: monoclinic
VASP energy in eV/atom: -6.816

***

Entry 5:
Below is a geometry-optimized Tb4ZnOs structure, with properties calculated at the PBE level.

a = 4.867 Å, b = 4.868 Å, c = 6.985 Å
α = 89.94°, β = 89.97°, γ = 90.00°
Positions (direct):
Zn 0.501 0.497 0.998
Os 0.001 0.997 0.498
Tb 0.002 0.498 0.735
Tb 0.501 0.997 0.262
Tb 0.501 0.998 0.735
Tb 0.001 0.497 0.262

Calculated formation energy in eV/atom: -0.0991
Crystal system: monoclinic
VASP energy in eV/atom: -5.270
ΔE to the lowest computed polymorph in meV per atom: 137

***

Entry 6:
Below is a geometry-optimized Tb4Zn2Os structure, with properties calculated at the PBE level.

a = 4.977 Å, b = 4.977 Å, c = 8.538 Å
α = 73.06°, β = 73.06°, γ = 60.00°
Positions (direct):
Zn 0.751 0.751 0.747
Os 0.000 0.000 0.000
Zn 0.249 0.249 0.253
Tb 0.878 0.878 0.365
Tb 0.627 0.627 0.120
Tb 0.373 0.373 0.880
Tb 0.122 0.122 0.635

Calculated formation energy in eV/atom: -0.1777
Crystal system: trigonal
VASP energy in eV/atom: -4.792

***

Entry 7:
Below is a geometry-optimized TbZrZnOs structure, with properties calculated at the PBE level.

a = 4.811 Å, b = 4.811 Å, c = 4.811 Å
α = 60.00°, β = 60.00°, γ = 60.00°
Positions (direct):
Os 0.750 0.750 0.750
Tb 0.000 0.000 0.000
Zr 0.500 0.500 0.500
Zn 0.250 0.250 0.250

Calculated formation energy in eV/atom: -0.2666
Crystal system: cubic
VASP energy in eV/atom: -6.687

***

Entry 8:
Below is a geometry-optimized TbZrOs structure, with properties calculated at the PBE level.

a = 5.392 Å, b = 7.645 Å, c = 7.646 Å
α = 77.49°, β = 76.24°, γ = 76.24°
Positions (direct):
Tb 0.197 0.673 0.923
Os 0.126 0.437 0.687
Tb 0.197 0.173 0.423
Zr 0.342 0.108 0.858
Tb 0.803 0.827 0.577
Os 0.874 0.563 0.313
Zr 0.658 0.892 0.142
Os 0.126 0.937 0.187
Zr 0.342 0.608 0.358
Zr 0.658 0.392 0.642
Os 0.874 0.063 0.813
Tb 0.803 0.327 0.077

Calculated formation energy in eV/atom: -0.1685
Crystal system: monoclinic
VASP energy in eV/atom: -8.305
ΔE to the lowest computed polymorph in meV per atom: 0

***

Entry 9:
Below is a geometry-optimized TbZrOs structure, with properties calculated at the PBE level.

a = 3.288 Å, b = 3.288 Å, c = 6.739 Å
α = 104.12°, β = 104.12°, γ = 90.00°
Positions (direct):
Tb 0.028 0.028 0.055
Os 0.677 0.677 0.355
Zr 0.295 0.295 0.590

Calculated formation energy in eV/atom: -0.1577
Crystal system: tetragonal
VASP energy in eV/atom: -8.294
ΔE to the lowest computed polymorph in meV per atom: 11

***

Entry 10:
Below is a geometry-optimized TbZrOs4 structure, with properties calculated at the PBE level.

a = 5.307 Å, b = 5.307 Å, c = 5.307 Å
α = 60.00°, β = 60.00°, γ = 60.00°
Positions (direct):
Os 0.625 0.625 0.625
Tb 0.250 0.250 0.250
Os 0.124 0.625 0.625
Zr 0.000 0.000 0.000
Os 0.625 0.625 0.124
Os 0.625 0.124 0.625

Calculated formation energy in eV/atom: -0.2720
Crystal system: cubic
VASP energy in eV/atom: -9.955

***

Entry 11:
Below is a geometry-optimized TbZr3Os4 structure, with properties calculated at the PBE level.

a = 4.687 Å, b = 6.647 Å, c = 9.375 Å
α = 90.00°, β = 90.00°, γ = 90.00°
Positions (direct):
Zr 0.500 0.500 0.250
Zr 0.500 0.500 0.750
Zr 0.000 0.000 0.000
Zr 0.500 0.000 0.250
Zr 0.500 0.000 0.750
Os 0.500 0.758 0.000
Tb 0.000 0.500 0.000
Os 0.500 0.758 0.500
Os 0.000 0.242 0.250
Tb 0.000 0.500 0.500
Os 0.500 0.242 0.000
Zr 0.000 0.000 0.500
Os 0.000 0.758 0.250
Os 0.000 0.758 0.750
Os 0.000 0.242 0.750
Os 0.500 0.242 0.500

Calculated formation energy in eV/atom: -0.3994
Crystal system: tetragonal
VASP energy in eV/atom: -9.799

***

Entry 12:
Below is a geometry-optimized Tb2ZrOs structure, with properties calculated at the PBE level.

a = 3.254 Å, b = 3.254 Å, c = 10.869 Å
α = 81.39°, β = 81.39°, γ = 60.00°
Positions (direct):
Os 0.500 0.500 0.500
Tb 0.100 0.100 0.700
Tb 0.900 0.900 0.300
Zr 0.000 0.000 0.000

Calculated formation energy in eV/atom: 0.3940
Crystal system: trigonal
VASP energy in eV/atom: -6.866

***

Entry 13:
Below is a geometry-optimized TbZr4Os5 structure, with properties calculated at the PBE level.

a = 3.302 Å, b = 3.302 Å, c = 16.710 Å
α = 90.00°, β = 90.00°, γ = 90.00°
Positions (direct):
Tb 0.000 0.000 0.000
Zr 0.000 0.000 0.797
Os 0.500 0.500 0.888
Zr 0.000 0.000 0.401
Zr 0.000 0.000 0.203
Os 0.500 0.500 0.305
Os 0.500 0.500 0.500
Os 0.500 0.500 0.112
Os 0.500 0.500 0.695
Zr 0.000 0.000 0.599

Calculated formation energy in eV/atom: -0.4485
Crystal system: tetragonal
VASP energy in eV/atom: -9.946

***

Entry 14:
Below is a geometry-optimized TbZrOs2 structure, with properties calculated at the PBE level.

a = 3.333 Å, b = 3.333 Å, c = 6.795 Å
α = 90.00°, β = 90.00°, γ = 90.00°
Positions (direct):
Zr 0.500 0.500 0.000
Tb 0.500 0.500 0.500
Os 0.000 0.000 0.768
Os 0.000 0.000 0.232

Calculated formation energy in eV/atom: -0.2877
Crystal system: tetragonal
VASP energy in eV/atom: -9.197

***

Entry 15:
Below is a geometry-optimized Tc3Os structure, with properties calculated at the PBE level.

a = 4.754 Å, b = 4.754 Å, c = 2.730 Å
α = 90.00°, β = 90.00°, γ = 109.49°
Positions (direct):
Tc 0.500 0.500 0.000
Os 0.000 0.000 0.000
Tc 0.000 0.500 0.500
Tc 0.500 0.000 0.500

Calculated formation energy in eV/atom: 0.0616
Crystal system: orthorhombic
VASP energy in eV/atom: -10.520
ΔE to the lowest computed polymorph in meV per atom: 116

***

Entry 16:
Below is a geometry-optimized Tc3Os5 structure, with properties calculated at the PBE level.

a = 5.452 Å, b = 5.452 Å, c = 3.887 Å
α = 90.00°, β = 90.00°, γ = 89.85°
Positions (direct):
Tc 0.248 0.752 0.500
Os 0.500 0.000 0.000
Os 0.247 0.247 0.500
Tc 0.752 0.248 0.500
Tc 0.500 0.500 0.000
Os 0.753 0.753 0.500
Os 0.000 0.500 0.000
Os 0.000 0.000 0.000

Calculated formation energy in eV/atom: 0.0708
Crystal system: orthorhombic
VASP energy in eV/atom: -10.835
ΔE to the lowest computed polymorph in meV per atom: 0

***

Entry 17:
Below is a geometry-optimized Tc3Os structure, with properties calculated at the PBE level.

a = 4.787 Å, b = 8.788 Å, c = 5.512 Å
α = 90.00°, β = 90.00°, γ = 90.00°
Positions (direct):
Tc 0.584 0.750 0.375
Tc 0.916 0.250 0.875
Tc 0.246 0.003 0.376
Tc 0.746 0.497 0.124
Tc 0.254 0.997 0.876
Os 0.416 0.250 0.124
Os 0.584 0.750 0.876
Tc 0.746 0.003 0.124
Os 0.084 0.750 0.624
Tc 0.246 0.497 0.376
Tc 0.754 0.997 0.624
Tc 0.416 0.250 0.625
Tc 0.084 0.750 0.125
Os 0.916 0.250 0.376
Tc 0.254 0.503 0.876
Tc 0.754 0.503 0.624

Calculated formation energy in eV/atom: -0.0139
Crystal system: orthorhombic
VASP energy in eV/atom: -10.596
ΔE to the lowest computed polymorph in meV per atom: 40

***

Entry 18:
Below is a geometry-optimized Tc3Os2 structure, with properties calculated at the PBE level.

a = 8.062 Å, b = 6.985 Å, c = 5.257 Å
α = 81.04°, β = 58.85°, γ = 40.10°
Positions (direct):
Tc 0.795 0.505 0.807
Tc 0.323 0.177 0.177
Os 0.884 0.709 0.053
Tc 0.443 0.356 0.455
Tc 0.894 0.807 0.505
Os 0.197 0.896 0.366
Os 0.354 0.053 0.709
Tc 0.745 0.455 0.356
Os 0.541 0.366 0.896
Tc 0.073 0.927 0.927

Calculated formation energy in eV/atom: 0.1203
Crystal system: orthorhombic
VASP energy in eV/atom: -10.591
ΔE to the lowest computed polymorph in meV per atom: 58

***

Entry 19:
Below is a geometry-optimized Tc2Os3 structure, with properties calculated at the PBE level.

a = 4.168 Å, b = 4.168 Å, c = 5.370 Å
α = 90.00°, β = 90.00°, γ = 120.00°
Positions (direct):
Os 0.000 0.000 0.000
Os 0.667 0.333 0.633
Tc 0.667 0.333 0.159
Tc 0.333 0.667 0.841
Os 0.333 0.667 0.367

Calculated formation energy in eV/atom: 0.6713
Crystal system: trigonal
VASP energy in eV/atom: -10.213
ΔE to the lowest computed polymorph in meV per atom: 601

***

Entry 20:
Below is a geometry-optimized TcOs4 structure, with properties calculated at the PBE level.

a = 4.729 Å, b = 4.729 Å, c = 4.729 Å
α = 99.57°, β = 99.57°, γ = 131.87°
Positions (direct):
Os 0.600 0.801 0.401
Os 0.801 0.400 0.201
Os 0.400 0.199 0.599
Tc 0.000 0.000 0.000
Os 0.199 0.600 0.799

Calculated formation energy in eV/atom: 0.0991
Crystal system: tetragonal
VASP energy in eV/atom: -10.958
ΔE to the lowest computed polymorph in meV per atom: 0